[1]
VASP calculation (PBE with a Hubbard U) on a relaxed structure of VBO2. Values from VASP.

Properties
total magnetization: 8.0 μB per cell
D(E_F): 1.6 states/eV/cell
total energy: -7.201 eV/atom
SG: I-42d, No. 122

```
&SYSTEM
  ibrav = 0, nat = 8, ntyp = 3
/
ATOMIC_SPECIES
B 10.81 B.upf
O 16.00 O.upf
V 50.94 V.upf
ATOMIC_POSITIONS crystal
B 0.500 0.500 0.000
B 0.250 0.750 0.500
O 0.483 0.125 0.250
O 0.267 0.625 0.250
O 0.375 0.517 0.750
O 0.875 0.733 0.750
V 0.000 0.000 0.000
V 0.750 0.250 0.500
CELL_PARAMETERS angstrom
-3.293 -2.481 1.975
-1.555 -1.218 -4.123
-0.294 -4.657 -1.049
```

---

[2]
VASP calculation (PBE with a Hubbard U) on a relaxed structure of VBO2. Values from VASP.

Properties
total magnetization: 2.1 μB per cell
D(E_F): 0.7 states/eV/cell
total energy: -6.702 eV/atom
SG: R-3m, No. 166

```
&SYSTEM
  ibrav = 0, nat = 4, ntyp = 3
/
ATOMIC_SPECIES
B 10.81 B.upf
O 16.00 O.upf
V 50.94 V.upf
ATOMIC_POSITIONS crystal
B 0.500 0.500 0.500
O 0.884 0.884 0.884
O 0.116 0.116 0.116
V 0.000 0.000 0.000
CELL_PARAMETERS angstrom
-0.297 1.549 5.806
0.759 -0.814 5.912
2.250 1.250 5.438
```

---

[3]
VASP calculation (PBE with a Hubbard U) on a relaxed structure of VB2O4. Values from VASP.

Properties
total magnetization: 0.0 μB per cell
D(E_F): 0.4 states/eV/cell
total energy: -7.604 eV/atom
SG: R-3m, No. 166

```
&SYSTEM
  ibrav = 0, nat = 7, ntyp = 3
/
ATOMIC_SPECIES
B 10.81 B.upf
O 16.00 O.upf
V 50.94 V.upf
ATOMIC_POSITIONS crystal
B 0.759 0.759 0.723
B 0.241 0.241 0.277
O 0.714 0.714 0.859
O 0.890 0.890 0.331
O 0.286 0.286 0.141
O 0.110 0.110 0.669
V 0.000 0.000 0.000
CELL_PARAMETERS angstrom
-0.741 2.076 -1.341
-0.052 -0.080 -2.578
-9.903 -2.585 -1.011
```

---

[4]
VASP calculation (PBE with a Hubbard U) on a relaxed structure of VBO3. Values from VASP.

Properties
total magnetization: 4.0 μB per cell
D(E_F): 0.0 states/eV/cell
total energy: -8.035 eV/atom
SG: Cmcm, No. 63

```
&SYSTEM
  ibrav = 0, nat = 10, ntyp = 3
/
ATOMIC_SPECIES
V 50.94 V.upf
B 10.81 B.upf
O 16.00 O.upf
ATOMIC_POSITIONS crystal
V 0.000 0.000 0.500
V 0.000 0.000 0.000
B 0.719 0.437 0.750
B 0.281 0.563 0.250
O 0.880 0.760 0.750
O 0.634 0.268 0.590
O 0.634 0.268 0.910
O 0.366 0.732 0.090
O 0.366 0.732 0.410
O 0.120 0.240 0.250
CELL_PARAMETERS angstrom
3.139 0.000 0.000
-1.570 4.222 0.000
0.000 0.000 7.448
```

---

[5]
VASP calculation (PBE with a Hubbard U) on a relaxed structure of V2BO4. Values from VASP.

Properties
total magnetization: 9.5 μB per cell
D(E_F): 1.5 states/eV/cell
total energy: -7.831 eV/atom
SG: Fd-3m, No. 227

```
&SYSTEM
  ibrav = 0, nat = 14, ntyp = 3
/
ATOMIC_SPECIES
B 10.81 B.upf
O 16.00 O.upf
V 50.94 V.upf
ATOMIC_POSITIONS crystal
B 0.875 0.625 0.750
B 0.125 0.375 0.250
O 0.236 0.707 0.028
O 0.764 0.293 0.972
O 0.207 0.736 0.528
O 0.236 0.264 0.471
O 0.236 0.264 0.029
O 0.764 0.736 0.529
O 0.793 0.264 0.472
O 0.764 0.736 0.971
V 0.500 0.500 0.500
V 0.500 0.000 0.500
V 0.000 0.000 0.000
V 0.500 0.000 0.000
CELL_PARAMETERS angstrom
-4.201 3.539 1.187
3.069 2.256 4.132
0.937 5.543 0.101
```

---

[6]
VASP calculation (PBE with a Hubbard U) on a relaxed structure of VBO2. Values from VASP.

Properties
total magnetization: 2.8 μB per cell
D(E_F): 0.9 states/eV/cell
total energy: -7.325 eV/atom
SG: R-3m, No. 166

```
&SYSTEM
  ibrav = 0, nat = 4, ntyp = 3
/
ATOMIC_SPECIES
B 10.81 B.upf
O 16.00 O.upf
V 50.94 V.upf
ATOMIC_POSITIONS crystal
B 0.000 0.000 0.000
O 0.904 0.904 0.904
O 0.096 0.096 0.096
V 0.500 0.500 0.500
CELL_PARAMETERS angstrom
2.017 0.000 4.591
-1.008 1.747 4.591
-1.008 -1.747 4.591
```

---

[7]
VASP calculation (PBE with a Hubbard U) on a relaxed structure of V3BO. Values from VASP.

Properties
total magnetization: 3.6 μB per cell
distance to the lowest polymorph of the same formula: 0.0 meV per atom
D(E_F): 3.3 states/eV/cell
SG: Pm-3m, No. 221

```
&SYSTEM
  ibrav = 0, nat = 5, ntyp = 3
/
ATOMIC_SPECIES
B 10.81 B.upf
O 16.00 O.upf
V 50.94 V.upf
ATOMIC_POSITIONS crystal
B 0.500 0.500 0.500
O 0.000 0.000 0.000
V 0.000 0.500 0.000
V 0.000 0.000 0.500
V 0.500 0.000 0.000
CELL_PARAMETERS angstrom
3.895 0.000 0.000
0.000 3.895 0.000
0.000 0.000 3.895
```

---

[8]
VASP calculation (PBE with a Hubbard U) on a relaxed structure of VBO3. Values from VASP.

Properties
total magnetization: 2.0 μB per cell
D(E_F): 0.4 states/eV/cell
total energy: -6.858 eV/atom
SG: Pm-3m, No. 221

```
&SYSTEM
  ibrav = 0, nat = 5, ntyp = 3
/
ATOMIC_SPECIES
B 10.81 B.upf
O 16.00 O.upf
V 50.94 V.upf
ATOMIC_POSITIONS crystal
B 0.000 0.000 0.000
O 0.000 0.500 0.000
O 0.000 0.000 0.500
O 0.500 0.000 0.000
V 0.500 0.500 0.500
CELL_PARAMETERS angstrom
3.360 0.000 0.000
0.000 3.360 0.000
0.000 0.000 3.360
```

---

[9]
VASP calculation (PBE with a Hubbard U) on a relaxed structure of VBO3. Values from VASP.

Properties
total magnetization: 4.0 μB per cell
D(E_F): 0.0 states/eV/cell
total energy: -8.088 eV/atom
SG: R-3c, No. 167

```
&SYSTEM
  ibrav = 0, nat = 10, ntyp = 3
/
ATOMIC_SPECIES
V 50.94 V.upf
B 10.81 B.upf
O 16.00 O.upf
ATOMIC_POSITIONS crystal
V 0.500 0.500 0.500
V 0.000 0.000 0.000
B 0.750 0.750 0.750
B 0.250 0.250 0.250
O 0.454 0.046 0.750
O 0.750 0.454 0.046
O 0.954 0.250 0.546
O 0.546 0.954 0.250
O 0.250 0.546 0.954
O 0.046 0.750 0.454
CELL_PARAMETERS angstrom
5.638 0.001 0.001
3.690 4.264 0.001
3.690 1.687 3.916
```

---

[10]
VASP calculation (PBE with a Hubbard U) on a relaxed structure of VB3O. Values from VASP.

Properties
total magnetization: 0.0 μB per cell
distance to the lowest polymorph of the same formula: 0.0 meV per atom
D(E_F): 2.0 states/eV/cell
SG: Pm-3m, No. 221

```
&SYSTEM
  ibrav = 0, nat = 5, ntyp = 3
/
ATOMIC_SPECIES
B 10.81 B.upf
O 16.00 O.upf
V 50.94 V.upf
ATOMIC_POSITIONS crystal
B 0.000 0.500 0.000
B 0.000 0.000 0.500
B 0.500 0.000 0.000
O 0.000 0.000 0.000
V 0.500 0.500 0.500
CELL_PARAMETERS angstrom
-3.438 -0.056 -0.405
0.133 -3.397 -0.657
-0.386 -0.668 3.375
```

---

[11]
VASP calculation (PBE with a Hubbard U) on a relaxed structure of VB4O7. Values from VASP.

Properties
total magnetization: 6.0 μB per cell
D(E_F): 0.0 states/eV/cell
total energy: -7.981 eV/atom
SG: Cmcm, No. 63

```
&SYSTEM
  ibrav = 0, nat = 24, ntyp = 3
/
ATOMIC_SPECIES
V 50.94 V.upf
B 10.81 B.upf
O 16.00 O.upf
ATOMIC_POSITIONS crystal
V 0.750 0.745 0.745
V 0.250 0.255 0.255
B 0.500 0.706 0.294
B 0.000 0.294 0.706
B 0.000 0.706 0.294
B 0.250 0.688 0.924
B 0.250 0.924 0.688
B 0.500 0.294 0.706
B 0.750 0.076 0.312
B 0.750 0.312 0.076
O 0.250 0.914 0.914
O 0.973 0.451 0.187
O 0.750 0.086 0.086
O 0.027 0.549 0.813
O 0.473 0.813 0.549
O 0.250 0.192 0.755
O 0.527 0.451 0.187
O 0.973 0.187 0.451
O 0.750 0.245 0.808
O 0.027 0.813 0.549
O 0.250 0.755 0.192
O 0.527 0.187 0.451
O 0.750 0.808 0.245
O 0.473 0.549 0.813
CELL_PARAMETERS angstrom
-4.067 0.285 3.407
-0.386 -6.410 0.075
3.793 2.918 4.283
```

---

[12]
VASP calculation (PBE with a Hubbard U) on a relaxed structure of VB3O. Values from VASP.

Properties
total magnetization: 3.2 μB per cell
distance to the lowest polymorph of the same formula: 1007.0 meV per atom
D(E_F): 3.0 states/eV/cell
SG: Pm-3m, No. 221

```
&SYSTEM
  ibrav = 0, nat = 5, ntyp = 3
/
ATOMIC_SPECIES
B 10.81 B.upf
O 16.00 O.upf
V 50.94 V.upf
ATOMIC_POSITIONS crystal
B 0.000 0.500 0.000
B 0.000 0.000 0.500
B 0.500 0.000 0.000
O 0.500 0.500 0.500
V 0.000 0.000 0.000
CELL_PARAMETERS angstrom
4.107 0.000 0.000
0.000 4.107 0.000
0.000 0.000 4.107
```